[1]
Here is a crystal of TlPIr2 relaxed with PBEsol from Alexandria. Energies are from SCAN.

The structure in extended XYZ format:
```
4
Lattice="1.498 0.865 8.149 -1.498 0.865 8.149 0.000 -1.730 8.149" Properties=species:S:1:pos:R:3 pbc="T T T"
Tl 0.000 0.000 0.000
P 0.000 0.000 12.224
Ir 0.000 0.000 5.709
Ir 0.000 0.000 18.738
```

Summary:
E above lowest polymorph = 7.4 kJ/mol of atoms
Energy of formation from the pure elements = 0.182 eV per atom
SG = R-3m
Total moment = 0.0 μB per formula unit



[2]
Here is a crystal of CaCdRe2 relaxed with PBEsol from Alexandria. Energies are from SCAN.

The structure in extended XYZ format:
```
4
Lattice="2.728 0.000 0.000 0.000 5.003 0.000 -0.534 0.000 5.212" Properties=species:S:1:pos:R:3 pbc="T T T"
Ca 0.000 0.000 0.000
Cd 1.097 0.000 2.606
Re 0.498 2.501 4.011
Re 1.697 2.501 1.201
```

Summary:
Energy of formation from the pure elements = 0.626 eV per atom
SG = P2/m
Total moment = 0.0 μB per formula unit



[3]
Here is a crystal of HfP3Br relaxed with PBEsol from Alexandria. Energies are from SCAN.

The structure in extended XYZ format:
```
5
Lattice="4.933 0.000 0.000 0.000 4.933 0.000 0.000 0.000 4.933" Properties=species:S:1:pos:R:3 pbc="T T T"
Hf 0.000 0.000 0.000
P 0.000 0.000 2.467
P 0.000 2.467 0.000
P 2.467 0.000 0.000
Br 2.467 2.467 2.467
```

Summary:
SG = Pm-3m
Raw formation energy = 0.4105 eV per atom
Total moment = 0.0 μB per formula unit



[4]
Here is a crystal of ScOsN2F relaxed with PBEsol from Alexandria. Energies are from SCAN.

The structure in extended XYZ format:
```
5
Lattice="4.141 0.000 0.000 0.000 4.141 0.000 0.000 0.000 3.604" Properties=species:S:1:pos:R:3 pbc="T T T"
Sc 0.000 0.000 0.000
Os 2.071 2.071 0.000
N 0.000 2.071 1.802
N 2.071 0.000 1.802
F 2.071 2.071 1.802
```

Summary:
E above lowest polymorph = 92.3 kJ/mol of atoms
SG = P4/mmm
Raw formation energy = 1.4458 eV per atom
Total moment = 3.1 μB per formula unit



[5]
Here is a crystal of ZnInAg2 relaxed with PBEsol from Alexandria. Energies are from SCAN.

The structure in extended XYZ format:
```
4
Lattice="4.109 0.000 0.000 0.000 4.109 0.000 0.000 0.000 4.073" Properties=species:S:1:pos:R:3 pbc="T T T"
Zn 0.000 0.000 0.000
In 2.054 2.054 0.000
Ag 0.000 2.054 2.037
Ag 2.054 0.000 2.037
```

Summary:
Energy of formation from the pure elements = 0.039 eV per atom
SG = P4/mmm
Total moment = 0.0 μB per formula unit



[6]
Here is a crystal of Si2Ag relaxed with PBEsol from Alexandria. Energies are from SCAN.

The structure in extended XYZ format:
```
3
Lattice="0.000 2.997 2.997 2.997 0.000 2.997 2.997 2.997 0.000" Properties=species:S:1:pos:R:3 pbc="T T T"
Si 1.498 1.498 1.498
Si 4.495 4.495 4.495
Ag 0.000 0.000 0.000
```

Summary:
E above lowest polymorph = 18.8 kJ/mol of atoms
SG = Fm-3m
Raw formation energy = 0.6054 eV per atom
Total moment = 0.0 μB per formula unit



[7]
Here is a crystal of Cd2CuNi relaxed with PBEsol from Alexandria. Energies are from SCAN.

The structure in extended XYZ format:
```
4
Lattice="3.066 0.000 0.000 0.000 3.066 0.000 0.000 0.000 6.337" Properties=species:S:1:pos:R:3 pbc="T T T"
Cd 0.000 0.000 1.550
Cd 0.000 0.000 4.787
Cu 1.533 1.533 3.168
Ni 1.533 1.533 0.000
```

Summary:
E above lowest polymorph = 0.8 kJ/mol of atoms
Energy of formation from the pure elements = 0.095 eV per atom
SG = P4/mmm
Total moment = 0.0 μB per formula unit



[8]
Here is a crystal of PIr2Os relaxed with PBEsol from Alexandria. Energies are from SCAN.

The structure in extended XYZ format:
```
4
Lattice="1.383 0.799 8.151 -1.383 0.799 8.151 0.000 -1.597 8.151" Properties=species:S:1:pos:R:3 pbc="T T T"
P 0.000 0.000 0.000
Ir 0.000 0.000 6.303
Ir 0.000 0.000 18.150
Os 0.000 0.000 12.226
```

Summary:
Energy of formation from the pure elements = 0.047 eV per atom
SG = R-3m
Total moment = 0.0 μB per formula unit



[9]
Here is a crystal of V3B4 relaxed with PBEsol from Alexandria. Energies are from SCAN.

The structure in extended XYZ format:
```
7
Lattice="-1.480 1.501 6.555 1.480 -1.501 6.555 1.480 1.501 -6.555" Properties=species:S:1:pos:R:3 pbc="T T T"
V 0.000 0.000 0.000
V 1.480 0.000 2.461
V 0.000 1.501 4.094
B 1.480 0.000 4.760
B 0.000 0.000 5.693
B 0.000 0.000 7.416
B 0.000 1.501 1.794
```

Summary:
Energy of formation from the pure elements = -0.858 eV per atom
SG = Immm
Total moment = 0.0 μB per formula unit



[10]
Here is a crystal of Ni2AgIr relaxed with PBEsol from Alexandria. Energies are from SCAN.

The structure in extended XYZ format:
```
4
Lattice="0.000 2.973 2.973 2.973 0.000 2.973 2.973 2.973 0.000" Properties=species:S:1:pos:R:3 pbc="T T T"
Ni 0.000 0.000 0.000
Ni 1.487 1.487 1.487
Ag 2.973 2.973 2.973
Ir 4.460 4.460 4.460
```

Summary:
E above lowest polymorph = 22.6 kJ/mol of atoms
Energy of formation from the pure elements = 0.481 eV per atom
SG = F-43m
Total moment = 2.4 μB per formula unit



[11]
Here is a crystal of Sn3IO relaxed with PBEsol from Alexandria. Energies are from SCAN.

The structure in extended XYZ format:
```
5
Lattice="5.796 0.000 0.000 0.000 5.796 0.000 0.000 0.000 5.796" Properties=species:S:1:pos:R:3 pbc="T T T"
Sn 0.000 0.000 2.898
Sn 0.000 2.898 0.000
Sn 2.898 0.000 0.000
I 0.000 0.000 0.000
O 2.898 2.898 2.898
```

Summary:
SG = Pm-3m
Raw formation energy = 1.4231 eV per atom
Total moment = 1.7 μB per formula unit



[12]
Here is a crystal of ZrTlP2 relaxed with PBEsol from Alexandria. Energies are from SCAN.

The structure in extended XYZ format:
```
8
Lattice="-3.047 3.047 5.788 3.047 -3.047 5.788 3.047 3.047 -5.788" Properties=species:S:1:pos:R:3 pbc="T T T"
Zr 0.000 0.000 0.000
Zr 0.000 3.047 2.894
Tl 3.047 0.000 2.894
Tl 0.000 0.000 5.788
P 4.570 1.371 -1.447
P 1.371 1.523 1.447
P -1.523 1.675 4.341
P 1.675 1.523 7.235
```

Summary:
E above lowest polymorph = 14.6 kJ/mol of atoms
Energy of formation from the pure elements = -0.271 eV per atom
SG = I-42d
Total moment = 0.0 μB per formula unit